Run P
KBaS2Cl: optimized geometry, GGA-PBE.

- Volume: 170.0 Å³/f.u.
- Total magnetic moment: 2.0 μB per formula unit

```
data_KBaS2Cl
_chemical_formula_sum 'K1 Ba1 S2 Cl1'
_symmetry_space_group_name_H-M 'P 1'
_symmetry_Int_Tables_number 1
_cell_length_a 5.5227
_cell_length_b 5.5227
_cell_length_c 5.5730
_cell_angle_alpha 90.00
_cell_angle_beta 90.00
_cell_angle_gamma 90.00
loop_
_symmetry_equiv_pos_as_xyz
'x,y,z'
loop_
_atom_site_label
_atom_site_fract_x
_atom_site_fract_y
_atom_site_fract_z
S1 0.0000 0.5000 0.0000
S2 0.5000 0.0000 0.0000
K1 0.0000 0.0000 0.0000
Cl1 0.0000 0.0000 0.5000
Ba1 0.5000 0.5000 0.5000
```

=====

Run Q
KBaS2Cl: optimized geometry, GGA-PBE.

- Volume: 220.5 Å³/f.u.
- Total magnetic moment: 2.0 μB per formula unit

```
data_KBaS2Cl
_chemical_formula_sum 'K1 Ba1 S2 Cl1'
_symmetry_space_group_name_H-M 'P 1'
_symmetry_Int_Tables_number 1
_cell_length_a 6.0432
_cell_length_b 6.0432
_cell_length_c 6.0372
_cell_angle_alpha 90.00
_cell_angle_beta 90.00
_cell_angle_gamma 90.00
loop_
_symmetry_equiv_pos_as_xyz
'x,y,z'
loop_
_atom_site_label
_atom_site_fract_x
_atom_site_fract_y
_atom_site_fract_z
K1 0.5000 0.5000 0.5000
Ba1 0.0000 0.0000 0.0000
S1 0.5000 0.0000 0.0000
S2 0.0000 0.5000 0.0000
Cl1 0.0000 0.0000 0.5000
```

=====

Least stable = run P

=====

Run P
KBaSeCl: optimized geometry, GGA-PBE.

- Volume: 121.3 Å³/f.u.
- Total magnetic moment: 0.0 μB per formula unit

```
data_KBaSeCl
_chemical_formula_sum 'K1 Ba1 Se1 Cl1'
_symmetry_space_group_name_H-M 'P 1'
_symmetry_Int_Tables_number 1
_cell_length_a 5.5558
_cell_length_b 5.5558
_cell_length_c 5.5558
_cell_angle_alpha 60.00
_cell_angle_beta 60.00
_cell_angle_gamma 60.00
loop_
_symmetry_equiv_pos_as_xyz
'x,y,z'
loop_
_atom_site_label
_atom_site_fract_x
_atom_site_fract_y
_atom_site_fract_z
Cl1 0.7500 0.7500 0.7500
K1 0.5000 0.5000 0.5000
Ba1 0.0000 0.0000 0.0000
Se1 0.2500 0.2500 0.2500
```

=====

Run Q
KBaSeCl: optimized geometry, GGA-PBE.

- Volume: 141.7 Å³/f.u.
- Total magnetic moment: 0.0 μB per formula unit

```
data_KBaSeCl
_chemical_formula_sum 'K1 Ba1 Se1 Cl1'
_symmetry_space_group_name_H-M 'P 1'
_symmetry_Int_Tables_number 1
_cell_length_a 4.6481
_cell_length_b 4.6481
_cell_length_c 6.5575
_cell_angle_alpha 90.00
_cell_angle_beta 90.00
_cell_angle_gamma 90.00
loop_
_symmetry_equiv_pos_as_xyz
'x,y,z'
loop_
_atom_site_label
_atom_site_fract_x
_atom_site_fract_y
_atom_site_fract_z
Se1 0.5000 0.5000 0.5000
Ba1 0.0000 0.0000 0.5000
Cl1 0.0000 0.0000 0.0000
K1 0.5000 0.5000 0.0000
```

=====

Least stable = run P

=====

Run P
Ba2LaCl: optimized geometry, GGA-PBE.

- Volume: 170.7 Å³/f.u.
- Total magnetic moment: 0.0 μB per formula unit

```
data_Ba2LaCl
_chemical_formula_sum 'Ba2 La1 Cl1'
_symmetry_space_group_name_H-M 'P 1'
_symmetry_Int_Tables_number 1
_cell_length_a 4.0339
_cell_length_b 7.1351
_cell_length_c 5.9307
_cell_angle_alpha 90.00
_cell_angle_beta 90.00
_cell_angle_gamma 90.00
loop_
_symmetry_equiv_pos_as_xyz
'x,y,z'
loop_
_atom_site_label
_atom_site_fract_x
_atom_site_fract_y
_atom_site_fract_z
Ba1 0.0000 0.0000 0.0000
Ba2 0.5000 0.5000 0.0000
La1 0.0000 0.5000 0.5000
Cl1 0.5000 0.0000 0.5000
```

=====

Run Q
Ba2LaCl: optimized geometry, GGA-PBE.

- Volume: 165.5 Å³/f.u.
- Total magnetic moment: 0.0 μB per formula unit

```
data_Ba2LaCl
_chemical_formula_sum 'Ba2 La1 Cl1'
_symmetry_space_group_name_H-M 'P 1'
_symmetry_Int_Tables_number 1
_cell_length_a 3.9135
_cell_length_b 3.9139
_cell_length_c 10.8070
_cell_angle_alpha 90.00
_cell_angle_beta 90.00
_cell_angle_gamma 90.00
loop_
_symmetry_equiv_pos_as_xyz
'x,y,z'
loop_
_atom_site_label
_atom_site_fract_x
_atom_site_fract_y
_atom_site_fract_z
La1 0.5000 0.5000 0.7500
Ba1 0.0000 0.0000 0.0401
Ba2 0.0000 0.0000 0.4599
Cl1 0.5000 0.5000 0.2500
```

=====

Least stable = run P

=====

Run P
Ba2LaCl: optimized geometry, GGA-PBE.

- Volume: 185.6 Å³/f.u.
- Total magnetic moment: 0.0 μB per formula unit

```
data_Ba2LaCl
_chemical_formula_sum 'Ba2 La1 Cl1'
_symmetry_space_group_name_H-M 'P 1'
_symmetry_Int_Tables_number 1
_cell_length_a 4.0417
_cell_length_b 4.1350
_cell_length_c 11.1076
_cell_angle_alpha 89.80
_cell_angle_beta 90.00
_cell_angle_gamma 90.00
loop_
_symmetry_equiv_pos_as_xyz
'x,y,z'
loop_
_atom_site_label
_atom_site_fract_x
_atom_site_fract_y
_atom_site_fract_z
La1 0.5000 0.7500 0.7500
Ba1 0.0000 0.2519 0.4735
Ba2 0.0000 0.2481 0.0265
Cl1 0.5000 0.2500 0.2500
```

=====

Run Q
Ba2LaCl: optimized geometry, GGA-PBE.

- Volume: 173.3 Å³/f.u.
- Total magnetic moment: 0.0 μB per formula unit

```
data_Ba2LaCl
_chemical_formula_sum 'Ba2 La1 Cl1'
_symmetry_space_group_name_H-M 'P 1'
_symmetry_Int_Tables_number 1
_cell_length_a 4.0814
_cell_length_b 4.0814
_cell_length_c 11.6830
_cell_angle_alpha 90.00
_cell_angle_beta 90.00
_cell_angle_gamma 117.04
loop_
_symmetry_equiv_pos_as_xyz
'x,y,z'
loop_
_atom_site_label
_atom_site_fract_x
_atom_site_fract_y
_atom_site_fract_z
Cl1 0.0000 0.0000 0.5159
Ba1 0.5000 0.5000 0.3007
Ba2 0.0000 0.0000 0.9788
La1 0.5000 0.5000 0.7046
```

=====

Least stable = run Q

=====

Run P
Ba2LaCl: optimized geometry, GGA-PBE.

- Volume: 172.8 Å³/f.u.
- Total magnetic moment: 0.0 μB per formula unit

```
data_Ba2LaCl
_chemical_formula_sum 'Ba2 La1 Cl1'
_symmetry_space_group_name_H-M 'P 1'
_symmetry_Int_Tables_number 1
_cell_length_a 4.0608
_cell_length_b 4.0608
_cell_length_c 11.3569
_cell_angle_alpha 90.00
_cell_angle_beta 90.00
_cell_angle_gamma 112.67
loop_
_symmetry_equiv_pos_as_xyz
'x,y,z'
loop_
_atom_site_label
_atom_site_fract_x
_atom_site_fract_y
_atom_site_fract_z
Ba1 0.0000 0.0000 0.0394
Ba2 0.0000 0.0000 0.4606
La1 0.5000 0.5000 0.7500
Cl1 0.5000 0.5000 0.2500
```

=====

Run Q
Ba2LaCl: optimized geometry, GGA-PBE.

- Volume: 190.2 Å³/f.u.
- Total magnetic moment: 1.3 μB per formula unit

```
data_Ba2LaCl
_chemical_formula_sum 'Ba2 La1 Cl1'
_symmetry_space_group_name_H-M 'P 1'
_symmetry_Int_Tables_number 1
_cell_length_a 7.5468
_cell_length_b 7.5468
_cell_length_c 7.5468
_cell_angle_alpha 148.92
_cell_angle_beta 119.71
_cell_angle_gamma 69.39
loop_
_symmetry_equiv_pos_as_xyz
'x,y,z'
loop_
_atom_site_label
_atom_site_fract_x
_atom_site_fract_y
_atom_site_fract_z
La1 0.7500 0.2500 0.5000
Ba1 0.4473 0.4473 0.0000
Ba2 0.0527 0.0527 0.0000
Cl1 0.2500 0.7500 0.5000
```

=====

Run R
Ba2LaCl: optimized geometry, GGA-PBE.

- Volume: 175.4 Å³/f.u.
- Total magnetic moment: 0.0 μB per formula unit

```
data_Ba2LaCl
_chemical_formula_sum 'Ba4 La2 Cl2'
_symmetry_space_group_name_H-M 'P 1'
_symmetry_Int_Tables_number 1
_cell_length_a 11.0413
_cell_length_b 11.0413
_cell_length_c 8.3205
_cell_angle_alpha 48.43
_cell_angle_beta 48.43
_cell_angle_gamma 90.00
loop_
_symmetry_equiv_pos_as_xyz
'x,y,z'
loop_
_atom_site_label
_atom_site_fract_x
_atom_site_fract_y
_atom_site_fract_z
Ba1 0.3750 0.4988 0.7500
Ba2 0.5012 0.1250 0.2500
Ba3 0.2488 0.6250 0.2500
Ba4 0.8750 0.7512 0.7500
Cl1 0.2500 0.7500 0.5000
Cl2 0.5000 0.5000 0.0000
La1 0.7500 0.2500 0.5000
La2 0.0000 0.0000 0.0000
```

=====

Least stable = run Q